Below is crystalline TaCo2Mo at its relaxed geometry, with properties calculated at the GGA-PBEsol level.

a = 4.2370 Å, b = 4.2370 Å, c = 4.2370 Å
α = 60.00°, β = 60.00°, γ = 60.00°
Element x y z (fractional)
Co (0.2500, 0.2500, 0.2500)
Mo (0.0000, 0.0000, 0.0000)
Co (0.7500, 0.7500, 0.7500)
Ta (0.5000, 0.5000, 0.5000)

Properties
As for the total magnetization: 3.41 Bohr magnetons per cell. Its energy of formation is 96.2 meV per atom. For the density, the calculation gives 12.19 g/cm³. The volume is 13.4 A^3/atom. As for the energy above the most stable polymorph in this dataset: 166 meV per atom. Its symmetry is No. 225. For the raw total energy, the calculation gives -9.852 eV per atom.